# NpH2WO8

An optimized crystal structure of NpH2WO8 (GGA+U, Alexandria via LeMat-Bulk).

Cell lengths 4.982, 5.163, 6.516 Å; angles 88.05, 81.22, 87.40 degrees
Fractional coordinates of all 12 atoms:
H 0.548 0.741 0.116
H 0.452 0.259 0.884
W 0.000 0.000 0.000
O 0.787 0.168 0.801
O 0.259 0.276 0.955
O 0.236 0.253 0.475
O 0.764 0.747 0.525
O 0.741 0.724 0.045
O 0.816 0.167 0.247
O 0.184 0.833 0.753
O 0.213 0.832 0.199
Np 0.000 0.000 0.500

Properties
Calculated volume in Å³/atom: 13.78
E_tot in eV for the cell shown: -86.07
SG: P-1, No. 2